# PmYEr2Sc (PBE-GGA, optimized geometry)
# Raw total energy, eV/atom: -5.01
# Formation energy, eV/f.u.: 1.64
# DOS at the Fermi energy, states/eV per cell: 12.48
# Space-group type: Cmcm
data_PmYEr2Sc
_symmetry_space_group_name_H-M 'P 1'
_symmetry_Int_Tables_number 1
_cell_length_a 7.0674
_cell_length_b 8.1408
_cell_length_c 6.9360
_cell_angle_alpha 125.93
_cell_angle_beta 90.00
_cell_angle_gamma 90.00
loop_
_symmetry_equiv_pos_as_xyz
'x,y,z'
loop_
_atom_site_label
_atom_site_fract_x
_atom_site_fract_y
_atom_site_fract_z
Er1 0.5000 0.3030 0.0000
Sc1 0.7500 0.0114 0.0228
Er2 0.0000 0.3030 0.0000
Y1 0.7500 0.7379 0.4759
Er3 0.0000 0.6970 0.0000
Pm1 0.7500 0.2748 0.5497
Y2 0.2500 0.2621 0.5241
Er4 0.5000 0.6970 0.0000
Pm2 0.2500 0.7252 0.4503
Sc2 0.2500 0.9886 0.9772


# LaTb4Tm4 (PBE-GGA, optimized geometry)
# Raw total energy, eV/atom: -4.55
# Formation energy, eV/f.u.: 0.35
# DOS at the Fermi energy, states/eV per cell: 30.36
# Space-group type: P-1
# Offset from the most stable computed form, meV per atom: 11
data_LaTb4Tm4
_symmetry_space_group_name_H-M 'P 1'
_symmetry_Int_Tables_number 1
_cell_length_a 9.6268
_cell_length_b 8.6418
_cell_length_c 13.9786
_cell_angle_alpha 74.42
_cell_angle_beta 76.29
_cell_angle_gamma 136.98
loop_
_symmetry_equiv_pos_as_xyz
'x,y,z'
loop_
_atom_site_label
_atom_site_fract_x
_atom_site_fract_y
_atom_site_fract_z
La1 0.5241 0.4919 0.7165
Tm1 0.7887 0.4568 0.2931
Tm2 0.5382 0.8753 0.3773
Tm3 0.2113 0.5432 0.7069
Tb1 0.2481 0.5800 0.1305
Tb2 0.8743 0.2108 0.0381
Tm4 0.8013 0.8236 0.9525
Tm5 0.1987 0.1764 0.0475
Tm6 0.8634 0.8410 0.3794
La2 0.4759 0.5081 0.2835
Tb3 0.0758 0.7361 0.5379
Tb4 0.5955 0.9328 0.7963
Tm7 0.1366 0.1590 0.6206
Tb5 0.7519 0.4200 0.8695
Tb6 0.4045 0.0672 0.2037
Tb7 0.9242 0.2639 0.4621
Tb8 0.1257 0.7892 0.9619
Tm8 0.4618 0.1247 0.6227